A plane-wave DFT calculation with PBE-GGA was carried out for a relaxed Ta25Co4 crystal.

Space group ... No. 217
Magnetic moment ... 0.46 μB per cell
Electronic total energy ... -10.85 eV/atom
Calculated density ... 15.17 g/cm³

a b c (Å): 8.7789 8.7789 8.7789
angles (deg): 109.47 109.47 109.47
Sites, in units of the cell vectors:
Ta 0.0000 0.0000 0.0000
Ta 0.0000 0.1866 0.3712
Ta 0.0000 0.3712 0.1866
Ta 0.0000 0.4145 0.6894
Ta 0.0000 0.6894 0.4145
Ta 0.1847 0.8134 0.8134
Ta 0.1866 0.0000 0.3712
Ta 0.1866 0.3712 0.0000
Ta 0.2749 0.5855 0.5855
Ta 0.3106 0.3106 0.7251
Ta 0.3106 0.7251 0.3106
Ta 0.3712 0.0000 0.1866
Ta 0.3712 0.1866 0.0000
Ta 0.4145 0.0000 0.6894
Ta 0.4145 0.6894 0.0000
Ta 0.5855 0.2749 0.5855
Ta 0.5855 0.5855 0.2749
Ta 0.6288 0.6288 0.8153
Ta 0.6288 0.8153 0.6288
Ta 0.6894 0.0000 0.4145
Ta 0.6894 0.4145 0.0000
Ta 0.7251 0.3106 0.3106
Ta 0.8134 0.1847 0.8134
Ta 0.8134 0.8134 0.1847
Ta 0.8153 0.6288 0.6288
Co 0.0000 0.0000 0.6178
Co 0.0000 0.6178 0.0000
Co 0.3822 0.3822 0.3822
Co 0.6178 0.0000 0.0000

---

A plane-wave DFT calculation with PBE-GGA was carried out for a relaxed RbFeCoTe3 crystal.

Space group ... No. 62
Magnetic moment ... 0.13 μB per cell
Electronic total energy ... -4.57 eV/atom
Calculated density ... 6.09 g/cm³

a b c (Å): 16.9430 3.8113 9.8426
angles (deg): 90.00 90.00 90.00
Sites, in units of the cell vectors:
Rb 0.2435 0.2500 0.0505
Rb 0.2565 0.7500 0.5505
Rb 0.7435 0.2500 0.4495
Rb 0.7565 0.7500 0.9495
Fe 0.0123 0.2500 0.3175
Fe 0.4877 0.7500 0.8175
Fe 0.5123 0.2500 0.1825
Fe 0.9877 0.7500 0.6825
Co 0.0073 0.7500 0.0956
Co 0.4927 0.2500 0.5956
Co 0.5073 0.7500 0.4044
Co 0.9927 0.2500 0.9044
Te 0.0702 0.2500 0.5683
Te 0.0859 0.7500 0.8779
Te 0.1122 0.7500 0.2657
Te 0.3878 0.2500 0.7657
Te 0.4141 0.2500 0.3779
Te 0.4298 0.7500 0.0683
Te 0.5702 0.2500 0.9317
Te 0.5859 0.7500 0.6221
Te 0.6122 0.7500 0.2343
Te 0.8878 0.2500 0.7343
Te 0.9141 0.2500 0.1221
Te 0.9298 0.7500 0.4317

---

A plane-wave DFT calculation with PBE-GGA was carried out for a relaxed TcOsPd crystal.

Space group ... No. 216
Magnetic moment ... 0.01 μB per cell
Electronic total energy ... -8.25 eV/atom
Calculated density ... 12.53 g/cm³

a b c (Å): 4.1981 4.1981 4.1981
angles (deg): 60.00 60.00 60.00
Sites, in units of the cell vectors:
Tc 0.0000 0.0000 0.0000
Os 0.7500 0.7500 0.7500
Pd 0.5000 0.5000 0.5000

---

A plane-wave DFT calculation with PBE-GGA was carried out for a relaxed ScIn2Hg crystal.

Space group ... No. 38
Magnetic moment ... 0.00 μB per cell
Electronic total energy ... -3.27 eV/atom
Calculated density ... 8.67 g/cm³

a b c (Å): 5.1891 6.3663 6.3663
angles (deg): 59.91 90.00 90.00
Sites, in units of the cell vectors:
Sc 0.0000 0.0000 0.0000
Sc 0.5000 0.3324 0.3324
In 0.0000 0.5002 0.5002
In 0.5000 0.3349 0.8339
In 0.5000 0.8316 0.8316
In 0.5000 0.8339 0.3349
Hg 0.0000 0.0055 0.4977
Hg 0.0000 0.4977 0.0055

---

A plane-wave DFT calculation with PBE-GGA was carried out for a relaxed Pu3Co2 crystal.

Space group ... No. 167
Magnetic moment ... 30.06 μB per cell
Electronic total energy ... -11.30 eV/atom
Calculated density ... 13.63 g/cm³

a b c (Å): 7.0081 7.0081 7.0081
angles (deg): 53.63 53.63 53.63
Sites, in units of the cell vectors:
Pu 0.1431 0.7500 0.3569
Pu 0.2500 0.6431 0.8569
Pu 0.3569 0.1431 0.7500
Pu 0.6431 0.8569 0.2500
Pu 0.7500 0.3569 0.1431
Pu 0.8569 0.2500 0.6431
Co 0.1821 0.1821 0.1821
Co 0.3179 0.3179 0.3179
Co 0.6821 0.6821 0.6821
Co 0.8179 0.8179 0.8179

---

A plane-wave DFT calculation with PBE-GGA was carried out for a relaxed LiLuPbSe3 crystal.

Space group ... No. 11
Magnetic moment ... 0.03 μB per cell
Electronic total energy ... -4.65 eV/atom
Calculated density ... 6.91 g/cm³

a b c (Å): 7.6599 4.0691 10.0556
angles (deg): 90.00 106.16 90.00
Sites, in units of the cell vectors:
Li 0.0845 0.2500 0.0887
Li 0.9155 0.7500 0.9113
Lu 0.3066 0.7500 0.3451
Lu 0.6934 0.2500 0.6549
Pb 0.2642 0.2500 0.8076
Pb 0.7358 0.7500 0.1924
Se 0.0539 0.2500 0.3303
Se 0.2632 0.7500 0.0501
Se 0.4303 0.7500 0.6367
Se 0.5697 0.2500 0.3633
Se 0.7368 0.2500 0.9499
Se 0.9461 0.7500 0.6696

---

A plane-wave DFT calculation with PBE-GGA was carried out for a relaxed HfSbAs crystal.

Space group ... No. 216
Magnetic moment ... 0.00 μB per cell
Electronic total energy ... -6.13 eV/atom
Calculated density ... 8.58 g/cm³

a b c (Å): 4.6831 4.6831 4.6831
angles (deg): 60.00 60.00 60.00
Sites, in units of the cell vectors:
Hf 0.0000 0.0000 0.0000
Sb 0.5000 0.5000 0.5000
As 0.2500 0.2500 0.2500

---

A plane-wave DFT calculation with PBE-GGA was carried out for a relaxed Sm4C2BrCl4 crystal.

Space group ... No. 12
Magnetic moment ... 0.00 μB per cell
Electronic total energy ... -5.76 eV/atom
Calculated density ... 5.02 g/cm³

a b c (Å): 9.5523 9.5523 8.0812
angles (deg): 104.63 104.63 23.16
Sites, in units of the cell vectors:
Sm 0.0003 0.0003 0.2015
Sm 0.9997 0.9997 0.7985
Sm 0.3390 0.3390 0.8943
Sm 0.6610 0.6610 0.1057
C 0.4610 0.4610 0.9758
C 0.5390 0.5390 0.0242
Br 0.5000 0.5000 0.5000
Cl 0.1605 0.1605 0.3541
Cl 0.1698 0.1698 0.8504
Cl 0.8302 0.8302 0.1496
Cl 0.8395 0.8395 0.6459

---

A plane-wave DFT calculation with PBE-GGA was carried out for a relaxed NbSiIr crystal.

Space group ... No. 189
Magnetic moment ... 0.00 μB per cell
Electronic total energy ... -8.55 eV/atom
Calculated density ... 11.57 g/cm³

a b c (Å): 7.3347 7.3347 2.8956
angles (deg): 90.00 90.00 120.00
Sites, in units of the cell vectors:
Nb 0.0000 0.3016 0.0000
Nb 0.3016 0.0000 0.0000
Nb 0.6984 0.6984 0.0000
Si 0.0000 0.0000 0.5000
Si 0.3333 0.6667 0.0000
Si 0.6667 0.3333 0.0000
Ir 0.0000 0.6392 0.5000
Ir 0.3608 0.3608 0.5000
Ir 0.6392 0.0000 0.5000

---

A plane-wave DFT calculation with PBE-GGA was carried out for a relaxed NdTlCdS3 crystal.

Space group ... No. 63
Magnetic moment ... 0.00 μB per cell
Electronic total energy ... -4.51 eV/atom
Calculated density ... 5.62 g/cm³

a b c (Å): 7.3939 7.3939 11.0567
angles (deg): 90.00 90.00 146.98
Sites, in units of the cell vectors:
Nd 0.0000 0.0000 0.0000
Nd 0.0000 0.0000 0.5000
Tl 0.2565 0.7435 0.7500
Tl 0.7435 0.2565 0.2500
Cd 0.4582 0.5418 0.2500
Cd 0.5418 0.4582 0.7500
S 0.0675 0.9325 0.2500
S 0.3696 0.6304 0.0543
S 0.3696 0.6304 0.4457
S 0.6304 0.3696 0.5543
S 0.6304 0.3696 0.9457
S 0.9325 0.0675 0.7500

---

A plane-wave DFT calculation with PBE-GGA was carried out for a relaxed NpGa2Sb crystal.

Space group ... No. 123
Magnetic moment ... 3.84 μB per cell
Electronic total energy ... -6.01 eV/atom
Calculated density ... 9.78 g/cm³

a b c (Å): 4.3975 4.3975 4.3751
angles (deg): 90.00 90.00 90.00
Sites, in units of the cell vectors:
Np 0.0000 0.0000 0.0000
Ga 0.0000 0.5000 0.5000
Ga 0.5000 0.0000 0.5000
Sb 0.5000 0.5000 0.0000

---

A plane-wave DFT calculation with PBE-GGA was carried out for a relaxed Tb2ErCuSn3Ir2 crystal.

Space group ... No. 38
Magnetic moment ... 0.00 μB per cell
Electronic total energy ... -5.98 eV/atom
Calculated density ... 11.22 g/cm³

a b c (Å): 3.8852 7.5227 7.5227
angles (deg): 119.83 90.00 90.00
Sites, in units of the cell vectors:
Tb 0.0000 0.2024 0.7976
Tb 0.0000 0.7976 0.2024
Er 0.0000 0.3927 0.3927
Cu 0.0000 0.7964 0.7964
Sn 0.5000 0.0582 0.0582
Sn 0.5000 0.5375 0.7968
Sn 0.5000 0.7968 0.5375
Ir 0.5000 0.1332 0.4635
Ir 0.5000 0.4635 0.1332

---

A plane-wave DFT calculation with PBE-GGA was carried out for a relaxed MgHgTeO crystal.

Space group ... No. 19
Electronic total energy ... -3.44 eV/atom
Calculated density ... 5.69 g/cm³

a b c (Å): 6.4267 7.5234 8.9014
angles (deg): 90.00 90.00 90.00
Sites, in units of the cell vectors:
Mg 0.1908 0.1617 0.0120
Mg 0.3092 0.8383 0.5120
Mg 0.6908 0.3383 0.9880
Mg 0.8092 0.6617 0.4880
Hg 0.2095 0.4296 0.3794
Hg 0.2905 0.5704 0.8794
Hg 0.7095 0.0704 0.6206
Hg 0.7905 0.9296 0.1206
Te 0.1208 0.8752 0.8050
Te 0.3792 0.1248 0.3050
Te 0.6208 0.6248 0.1950
Te 0.8792 0.3752 0.6950
O 0.0988 0.6823 0.4376
O 0.4012 0.3177 0.9376
O 0.5988 0.8177 0.5624
O 0.9012 0.1823 0.0624

---

A plane-wave DFT calculation with PBE-GGA was carried out for a relaxed Tm2Te3 crystal.

Space group ... No. 70
Magnetic moment ... 0.00 μB per cell
Electronic total energy ... -5.05 eV/atom
Calculated density ... 7.07 g/cm³

a b c (Å): 14.2602 13.5975 7.4608
angles (deg): 79.43 69.61 30.95
Sites, in units of the cell vectors:
Tm 0.0425 0.0425 0.2075
Tm 0.1250 0.1250 0.6250
Tm 0.2075 0.2075 0.0425
Tm 0.3750 0.3750 0.8750
Tm 0.6250 0.6250 0.1250
Tm 0.7925 0.7925 0.9575
Tm 0.8750 0.8750 0.3750
Tm 0.9575 0.9575 0.7925
Te 0.0428 0.5409 0.2081
Te 0.1276 0.6224 0.6224
Te 0.2081 0.7082 0.0428
Te 0.2918 0.7919 0.4591
Te 0.3776 0.8724 0.8724
Te 0.4591 0.9572 0.2918
Te 0.5409 0.0428 0.7082
Te 0.6224 0.1276 0.1276
Te 0.7082 0.2081 0.5409
Te 0.7919 0.2918 0.9572
Te 0.8724 0.3776 0.3776
Te 0.9572 0.4591 0.7919

---

A plane-wave DFT calculation with PBE-GGA was carried out for a relaxed Cu7Hg6 crystal.

Space group ... No. 160
Electronic total energy ... -1.84 eV/atom
Calculated density ... 7.99 g/cm³

a b c (Å): 8.8262 8.8262 8.8262
angles (deg): 87.05 87.05 87.05
Sites, in units of the cell vectors:
Cu 0.0000 0.0000 0.0000
Cu 0.0251 0.8076 0.8076
Cu 0.0877 0.0877 0.7519
Cu 0.0877 0.7519 0.0877
Cu 0.1934 0.1934 0.9728
Cu 0.1934 0.9728 0.1934
Cu 0.2412 0.2412 0.2412
Cu 0.2621 0.9169 0.9169
Cu 0.7519 0.0877 0.0877
Cu 0.8076 0.0251 0.8076
Cu 0.8076 0.8076 0.0251
Cu 0.9169 0.2621 0.9169
Cu 0.9169 0.9169 0.2621
Cu 0.9728 0.1934 0.1934
Hg 0.0255 0.5021 0.7521
Hg 0.0255 0.7521 0.5021
Hg 0.0734 0.4287 0.4287
Hg 0.0845 0.0845 0.4673
Hg 0.0845 0.4673 0.0845
Hg 0.4287 0.0734 0.4287
Hg 0.4287 0.4287 0.0734
Hg 0.4673 0.0845 0.0845
Hg 0.5021 0.0255 0.7521
Hg 0.5021 0.7521 0.0255
Hg 0.7521 0.0255 0.5021
Hg 0.7521 0.5021 0.0255

---

A plane-wave DFT calculation with PBE-GGA was carried out for a relaxed PaInPO crystal.

Space group ... No. 129
Magnetic moment ... 1.80 μB per cell
Electronic total energy ... -6.63 eV/atom
Calculated density ... 8.20 g/cm³

a b c (Å): 3.9758 3.9758 10.0664
angles (deg): 90.00 90.00 90.00
Sites, in units of the cell vectors:
Pa 0.2500 0.2500 0.1335
Pa 0.7500 0.7500 0.8665
In 0.2500 0.7500 0.5000
In 0.7500 0.2500 0.5000
P 0.2500 0.2500 0.7426
P 0.7500 0.7500 0.2574
O 0.2500 0.7500 0.0000
O 0.7500 0.2500 0.0000

---

A plane-wave DFT calculation with PBE-GGA was carried out for a relaxed PaB crystal.

Space group ... No. 225
Magnetic moment ... 0.00 μB per cell
Electronic total energy ... -8.08 eV/atom
Calculated density ... 11.28 g/cm³

a b c (Å): 3.6922 3.6922 3.6922
angles (deg): 60.00 60.00 60.00
Sites, in units of the cell vectors:
Pa 0.0000 0.0000 0.0000
B 0.5000 0.5000 0.5000

---

A plane-wave DFT calculation with PBE-GGA was carried out for a relaxed Lu4InGe4Pd2 crystal.

Space group ... No. 12
Magnetic moment ... 0.00 μB per cell
Electronic total energy ... -5.35 eV/atom
Calculated density ... 9.93 g/cm³

a b c (Å): 8.0842 8.0842 7.0811
angles (deg): 106.63 106.63 29.92
Sites, in units of the cell vectors:
Lu 0.0869 0.0869 0.3815
Lu 0.1568 0.1568 0.9211
Lu 0.8432 0.8432 0.0789
Lu 0.9131 0.9131 0.6185
In 0.5000 0.5000 0.0000
Ge 0.3116 0.3116 0.7703
Ge 0.4379 0.4379 0.3389
Ge 0.5621 0.5621 0.6611
Ge 0.6884 0.6884 0.2297
Pd 0.2807 0.2807 0.3719
Pd 0.7193 0.7193 0.6281

---

A plane-wave DFT calculation with PBE-GGA was carried out for a relaxed Co12Ni17 crystal.

Space group ... No. 217
Magnetic moment ... 30.79 μB per cell
Electronic total energy ... -6.15 eV/atom
Calculated density ... 8.98 g/cm³

a b c (Å): 7.4258 7.4258 7.4258
angles (deg): 109.47 109.47 109.47
Sites, in units of the cell vectors:
Co 0.0000 0.1894 0.3724
Co 0.0000 0.3724 0.1894
Co 0.1830 0.8106 0.8106
Co 0.1894 0.0000 0.3724
Co 0.1894 0.3724 0.0000
Co 0.3724 0.0000 0.1894
Co 0.3724 0.1894 0.0000
Co 0.6276 0.6276 0.8170
Co 0.6276 0.8170 0.6276
Co 0.8106 0.1830 0.8106
Co 0.8106 0.8106 0.1830
Co 0.8170 0.6276 0.6276
Ni 0.0000 0.0000 0.0000
Ni 0.0000 0.0000 0.6478
Ni 0.0000 0.3989 0.6822
Ni 0.0000 0.6478 0.0000
Ni 0.0000 0.6822 0.3989
Ni 0.2833 0.6011 0.6011
Ni 0.3178 0.3178 0.7167
Ni 0.3178 0.7167 0.3178
Ni 0.3522 0.3522 0.3522
Ni 0.3989 0.0000 0.6822
Ni 0.3989 0.6822 0.0000
Ni 0.6011 0.2833 0.6011
Ni 0.6011 0.6011 0.2833
Ni 0.6478 0.0000 0.0000
Ni 0.6822 0.0000 0.3989
Ni 0.6822 0.3989 0.0000
Ni 0.7167 0.3178 0.3178

---

A plane-wave DFT calculation with PBE-GGA was carried out for a relaxed LiZrBeTe3 crystal.

Space group ... No. 63
Magnetic moment ... 1.10 μB per cell
Electronic total energy ... -4.55 eV/atom
Calculated density ... 5.43 g/cm³

a b c (Å): 7.4027 7.4027 10.7848
angles (deg): 90.00 90.00 149.54
Sites, in units of the cell vectors:
Li 0.2222 0.7778 0.7500
Li 0.7778 0.2222 0.2500
Zr 0.0000 0.0000 0.0000
Zr 0.0000 0.0000 0.5000
Be 0.4742 0.5258 0.2500
Be 0.5258 0.4742 0.7500
Te 0.0867 0.9133 0.2500
Te 0.3581 0.6419 0.0753
Te 0.3581 0.6419 0.4247
Te 0.6419 0.3581 0.5753
Te 0.6419 0.3581 0.9247
Te 0.9133 0.0867 0.7500